A relaxed structure of HfPtC2, computed with PBE.

```
data_HfPtC2
_chemical_formula_sum 'Hf1 Pt1 C2'
_cell_length_a 4.023
_cell_length_b 4.023
_cell_length_c 4.023
_cell_angle_alpha 60.00
_cell_angle_beta 60.00
_cell_angle_gamma 60.00
_space_group_name_H-M_alt 'P 1'
_space_group_IT_number 1
loop_
_space_group_symop_operation_xyz
'x,y,z'
loop_
_atom_site_label
_atom_site_fract_x
_atom_site_fract_y
_atom_site_fract_z
C1 0.250 0.250 0.250
C2 0.750 0.750 0.750
Pt1 0.500 0.500 0.500
Hf1 0.000 0.000 0.000
```

Values from the calculation:
Calculated total energy   -7.755 eV/atom
Polymorph energy (0 for the lowest one)   0.440 eV/atom
Formation energy from the elements   0.855 eV/atom


A relaxed structure of Tl8As2Pb, computed with PBE.

```
data_Tl8As2Pb
_chemical_formula_sum 'Tl8 As2 Pb1'
_cell_length_a 6.214
_cell_length_b 8.423
_cell_length_c 8.423
_cell_angle_alpha 63.19
_cell_angle_beta 71.90
_cell_angle_gamma 71.90
_space_group_name_H-M_alt 'P 1'
_space_group_IT_number 1
loop_
_space_group_symop_operation_xyz
'x,y,z'
loop_
_atom_site_label
_atom_site_fract_x
_atom_site_fract_y
_atom_site_fract_z
Tl1 0.608 0.588 0.588
Tl2 0.392 0.412 0.412
Tl3 0.971 0.570 0.175
Tl4 0.413 0.146 0.146
Tl5 0.587 0.854 0.854
Tl6 0.029 0.430 0.825
Tl7 0.029 0.825 0.430
Tl8 0.971 0.175 0.570
Pb1 0.000 0.000 0.000
As1 0.819 0.238 0.238
As2 0.181 0.762 0.762
```

Values from the calculation:
Calculated total energy   -2.800 eV/atom
Formation energy from the elements   0.103 eV/atom